(1)
Compound: GaNiN2F
Source: Alexandria
Functional: PBE+U
Structure: optimized geometry

It has space group P4/mmm (No. 123), with a = 3.7843 Å, b = 3.7843 Å, c = 3.8823 Å, α = 90.00°, β = 90.00° and γ = 90.00°. The distinct sites, in fractional coordinates, are Ga at (0.0000, 0.0000, 0.0000), Ni at (0.5000, 0.5000, 0.5000), N at (0.0000, 0.5000, 0.5000) and F at (0.5000, 0.5000, 0.0000).

The calculation puts the total magnetization at 0.47 μB per atom. As for the volume: 55.60 Å³ per cell. The density of states at the Fermi level is 0.4372 states/eV/atom. The calculation puts the final energy at -4.15 eV/atom.

(2)
Compound: GaNiNF2
Source: Alexandria
Functional: PBE+U
Structure: optimized geometry

It has space group P4/mmm (No. 123), with a = 3.8496 Å, b = 3.8496 Å, c = 3.9548 Å, α = 90.00°, β = 90.00° and γ = 90.00°. The distinct sites, in fractional coordinates, are Ga at (0.0000, 0.0000, 0.0000), Ni at (0.5000, 0.5000, 0.5000), N at (0.0000, 0.0000, 0.5000) and F at (0.0000, 0.5000, 0.0000).

The calculation puts the total magnetization at 0.40 μB per atom. The excess energy over the best structure of this formula in the dataset is 0.00 kcal/mol of atoms. As for the volume: 58.61 Å³ per cell. The density of states at the Fermi level is 0.1034 states/eV/atom. The calculation puts the final energy at -4.12 eV/atom.

(3)
Compound: GaNiN2F
Source: Alexandria
Functional: PBE+U
Structure: optimized geometry

It has space group P4/mmm (No. 123), with a = 3.8434 Å, b = 3.8434 Å, c = 3.9288 Å, α = 90.00°, β = 90.00° and γ = 90.00°. The distinct sites, in fractional coordinates, are Ga at (0.0000, 0.0000, 0.0000), Ni at (0.5000, 0.5000, 0.5000), N at (0.0000, 0.5000, 0.0000) and F at (0.0000, 0.0000, 0.5000).

The calculation puts the total magnetization at 0.38 μB per atom. As for the volume: 58.03 Å³ per cell. The density of states at the Fermi level is 0.5616 states/eV/atom. The calculation puts the final energy at -4.15 eV/atom.

(4)
Compound: GaNiNF2
Source: Alexandria
Functional: PBE+U
Structure: optimized geometry

It has space group P4/mmm (No. 123), with a = 3.7936 Å, b = 3.7936 Å, c = 4.1810 Å, α = 90.00°, β = 90.00° and γ = 90.00°. The distinct sites, in fractional coordinates, are Ga at (0.0000, 0.0000, 0.0000), Ni at (0.5000, 0.5000, 0.5000), N at (0.5000, 0.5000, 0.0000) and F at (0.0000, 0.5000, 0.5000).

The calculation puts the total magnetization at 0.33 μB per atom. The excess energy over the best structure of this formula in the dataset is 1.51 kcal/mol of atoms. As for the volume: 60.17 Å³ per cell. The density of states at the Fermi level is 0.2580 states/eV/atom. The calculation puts the final energy at -4.06 eV/atom.